VASP calculation (PBE) on a relaxed Mn2ZnGeH crystal.

## Properties
Its magnetic moment is 5.049 μB/f.u. Its space-group type is No. 123. For the total energy, the calculation gives -5.452 eV/atom.

a b c (Å): 3.768 3.768 3.926
angles (deg): 90.00 90.00 90.00
Each line ends with the local moment (μB).
Fractional positions:
1 Ge 0.500 0.500 0.500  -0.08
2 Mn 0.000 0.500 0.000  2.52
3 Mn 0.500 0.000 0.000  2.52
4 H 0.000 0.000 0.000  -0.03
5 Zn 0.000 0.000 0.500  -0.04

---

VASP calculation (PBE) on a relaxed ZrMn2GeH crystal.

## Properties
Its magnetic moment is 4.094 μB/f.u. Its space-group type is No. 123. For the total energy, the calculation gives -7.150 eV/atom.

a b c (Å): 3.897 3.897 4.140
angles (deg): 90.00 90.00 90.00
Each line ends with the local moment (μB).
Fractional positions:
1 H 0.000 0.000 0.000  -0.01
2 Mn 0.000 0.500 0.000  2.19
3 Mn 0.500 0.000 0.000  2.19
4 Zr 0.000 0.000 0.500  -0.28
5 Ge 0.500 0.500 0.500  -0.07

---

VASP calculation (PBE) on a relaxed Zr2MnGeH crystal.

## Properties
Its magnetic moment is 1.706 μB/f.u. Its space-group type is No. 123. For the total energy, the calculation gives -7.212 eV/atom.

a b c (Å): 4.441 4.441 3.713
angles (deg): 90.00 90.00 90.00
Each line ends with the local moment (μB).
Fractional positions:
1 Mn 0.000 0.000 0.500  2.10
2 Ge 0.500 0.500 0.500  0.00
3 Zr 0.500 0.000 0.000  -0.18
4 Zr 0.000 0.500 0.000  -0.18
5 H 0.000 0.000 0.000  0.00

---

VASP calculation (PBE) on a relaxed Ge2MoH crystal.

## Properties
For the energy above the most stable polymorph in this dataset, the calculation gives 46.51 kJ/mol of atoms. Its magnetic moment is 0.907 μB/f.u. Its space-group type is No. 225.

a b c (Å): 4.341 4.341 4.341
angles (deg): 60.00 60.00 60.00
Each line ends with the local moment (μB).
Fractional positions:
1 Ge 0.250 0.250 0.250  -0.01
2 Ge 0.750 0.750 0.750  -0.01
3 H 0.000 0.000 0.000  0.08
4 Mo 0.500 0.500 0.500  0.65

---

VASP calculation (PBE) on a relaxed Ge2MoH2 crystal.

## Properties
Its magnetic moment is 0.000 μB/f.u. Its space-group type is No. 139. For the total energy, the calculation gives -4.816 eV/atom.

a b c (Å): 2.968 2.968 6.778
angles (deg): 77.35 77.35 90.00
Fractional positions:
1 H 0.250 0.750 0.500
2 H 0.750 0.250 0.500
3 Mo 0.000 0.000 0.000
4 Ge 0.636 0.636 0.728
5 Ge 0.364 0.364 0.272

---

VASP calculation (PBE) on a relaxed GeMoH3 crystal.

## Properties
For the energy above the most stable polymorph in this dataset, the calculation gives 59.58 kJ/mol of atoms. Its magnetic moment is 0.000 μB/f.u. Its space-group type is No. 221.

a b c (Å): 3.492 3.492 3.492
angles (deg): 90.00 90.00 90.00
Fractional positions:
1 H 0.000 0.000 0.500
2 H 0.000 0.500 0.000
3 H 0.500 0.000 0.000
4 Ge 0.000 0.000 0.000
5 Mo 0.500 0.500 0.500

---

VASP calculation (PBE) on a relaxed GeMoH3 crystal.

## Properties
For the energy above the most stable polymorph in this dataset, the calculation gives 0.00 kJ/mol of atoms. Its magnetic moment is 0.627 μB/f.u. Its space-group type is No. 221.

a b c (Å): 3.593 3.593 3.593
angles (deg): 90.00 90.00 90.00
Each line ends with the local moment (μB).
Fractional positions:
1 Ge 0.500 0.500 0.500  0.02
2 H 0.000 0.500 0.000  0.00
3 H 0.000 0.000 0.500  0.00
4 H 0.500 0.000 0.000  0.01
5 Mo 0.000 0.000 0.000  0.57

---

VASP calculation (PBE) on a relaxed Ge2MoH crystal.

## Properties
For the energy above the most stable polymorph in this dataset, the calculation gives 0.00 kJ/mol of atoms. Its magnetic moment is 0.000 μB/f.u. Its space-group type is No. 122.

a b c (Å): 5.951 5.951 5.143
angles (deg): 54.66 54.66 90.00
Fractional positions:
1 H 0.500 0.500 0.000
2 H 0.250 0.750 0.500
3 Ge 0.216 0.625 0.250
4 Ge 0.875 0.784 0.750
5 Ge 0.375 0.466 0.750
6 Ge 0.534 0.125 0.250
7 Mo 0.750 0.250 0.500
8 Mo 0.000 0.000 0.000

---

VASP calculation (PBE) on a relaxed GeMoH2 crystal.

## Properties
For the energy above the most stable polymorph in this dataset, the calculation gives 0.00 kJ/mol of atoms. Its magnetic moment is 0.000 μB/f.u. Its space-group type is No. 122.

a b c (Å): 4.736 4.736 5.039
angles (deg): 61.97 61.97 90.00
Fractional positions:
1 H 0.875 0.926 0.750
2 H 0.676 0.125 0.250
3 H 0.074 0.625 0.250
4 H 0.375 0.324 0.750
5 Ge 0.500 0.500 0.000
6 Ge 0.250 0.750 0.500
7 Mo 0.750 0.250 0.500
8 Mo 0.000 0.000 0.000

---

VASP calculation (PBE) on a relaxed GeMoH crystal.

## Properties
For the energy above the most stable polymorph in this dataset, the calculation gives 0.00 kJ/mol of atoms. Its magnetic moment is 0.000 μB/f.u. Its space-group type is No. 187.

a b c (Å): 3.495 3.384 3.384
angles (deg): 120.00 90.00 90.00
Fractional positions:
1 H 0.167 0.000 0.000
2 Mo 0.167 0.667 0.333
3 Ge 0.667 0.333 0.667

---

VASP calculation (PBE) on a relaxed Ge3MoH crystal.

## Properties
For the energy above the most stable polymorph in this dataset, the calculation gives 4.76 kJ/mol of atoms. Its magnetic moment is 0.920 μB/f.u. Its space-group type is No. 221.

a b c (Å): 4.875 4.875 4.875
angles (deg): 90.00 90.00 90.00
Each line ends with the local moment (μB).
Fractional positions:
1 Ge 0.500 0.000 0.000  0.00
2 Ge 0.000 0.500 0.000  0.00
3 Ge 0.000 0.000 0.500  0.00
4 Mo 0.000 0.000 0.000  0.17
5 H 0.500 0.500 0.500  0.31

---

VASP calculation (PBE) on a relaxed GeMoH2 crystal.

## Properties
For the energy above the most stable polymorph in this dataset, the calculation gives 36.06 kJ/mol of atoms. Its magnetic moment is 0.443 μB/f.u. Its space-group type is No. 225.

a b c (Å): 3.784 3.784 3.784
angles (deg): 60.00 60.00 60.00
Each line ends with the local moment (μB).
Fractional positions:
1 H 0.750 0.750 0.750  0.00
2 H 0.250 0.250 0.250  0.00
3 Ge 0.000 0.000 0.000  -0.01
4 Mo 0.500 0.500 0.500  0.43